# 1
Here is a relaxed structure of La2PrSb3Pt4 from Alexandria via LeMat-Bulk. Energies are from PBE-GGA.

Cell: 4.6354 4.6354 11.4388 Å, 90.00 90.00 90.00°
Space group P-4m2 (No. 115)
Symmetry-distinct sites (fractional):
La  0.0000  0.5000  0.2100 (multiplicity 2)
Pr  0.0000  0.0000  0.5000 (multiplicity 1)
Sb  0.0000  0.5000  0.8753 (multiplicity 2)
Sb  0.5000  0.5000  0.5000 (multiplicity 1)
Pt  0.0000  0.0000  0.0000 (multiplicity 1)
Pt  0.0000  0.5000  0.6492 (multiplicity 2)
Pt  0.5000  0.5000  0.0000 (multiplicity 1)

Properties
For the raw formation energy, the calculation gives -0.95 eV/atom. Its total moment is 0.00 μB per formula unit.

---

# 2
Here is a relaxed structure of LaPrSi2Pt5 from Alexandria via LeMat-Bulk. Energies are from PBE-GGA.

Cell: 4.3370 4.3370 8.9619 Å, 90.00 90.00 90.00°
Space group P4/mmm (No. 123)
Symmetry-distinct sites (fractional):
La  0.0000  0.0000  0.0000 (multiplicity 1)
Pr  0.0000  0.0000  0.5000 (multiplicity 1)
Si  0.5000  0.5000  0.1396 (multiplicity 2)
Pt  0.0000  0.5000  0.2637 (multiplicity 4)
Pt  0.5000  0.5000  0.5000 (multiplicity 1)

Properties
For the raw formation energy, the calculation gives -1.03 eV/atom. Its total moment is 0.00 μB per formula unit.

---

# 3
Here is a relaxed structure of La2PrSi3Pt12 from Alexandria via LeMat-Bulk. Energies are from PBE-GGA.

Cell: 8.3674 8.3674 18.4151 Å, 90.00 90.00 120.00°
Space group R-3m (No. 166, hexagonal axes)
Symmetry-distinct sites (fractional):
La  0.0000  0.0000  0.0985 (multiplicity 6)
Pr  0.0000  0.0000  0.5000 (multiplicity 3)
Si  0.0000  0.5000  0.0000 (multiplicity 9)
Pt  0.0354  0.5177  0.3649 (multiplicity 18)
Pt  0.0407  0.5204  0.8716 (multiplicity 18)

Properties
For the raw formation energy, the calculation gives -0.55 eV/atom. Its total moment is 0.00 μB per formula unit.

---

# 4
Here is a relaxed structure of La2PrSi3Pt4 from Alexandria via LeMat-Bulk. Energies are from PBE-GGA.

Cell: 4.3441 4.3441 11.0832 Å, 90.00 90.00 90.00°
Space group P-4m2 (No. 115)
Symmetry-distinct sites (fractional):
La  0.0000  0.5000  0.2245 (multiplicity 2)
Pr  0.0000  0.0000  0.5000 (multiplicity 1)
Si  0.0000  0.5000  0.8884 (multiplicity 2)
Si  0.5000  0.5000  0.5000 (multiplicity 1)
Pt  0.0000  0.0000  0.0000 (multiplicity 1)
Pt  0.0000  0.5000  0.6726 (multiplicity 2)
Pt  0.5000  0.5000  0.0000 (multiplicity 1)

Properties
For the raw formation energy, the calculation gives -1.01 eV/atom. Its total moment is 0.00 μB per formula unit.

---

# 5
Here is a relaxed structure of LaPrSiPt from Alexandria via LeMat-Bulk. Energies are from PBE-GGA.

Cell: 4.2594 4.2562 11.2081 Å, 90.00 90.00 90.00°
Space group Amm2 (No. 38)
Symmetry-distinct sites (fractional):
La  0.0000  0.0000  0.0000 (multiplicity 2)
Pr  0.5000  0.0000  0.2802 (multiplicity 2)
Si  0.0000  0.0000  0.7107 (multiplicity 2)
Pt  0.5000  0.0000  0.5647 (multiplicity 2)

Properties
For the raw formation energy, the calculation gives -0.93 eV/atom. Its total moment is 0.00 μB per formula unit.

---

# 6
Here is a relaxed structure of La2PrSmPt2 from Alexandria via LeMat-Bulk. Energies are from PBE-GGA.

Cell: 7.0787 14.3137 7.0725 Å, 90.00 90.00 90.00°
Space group Ibam (No. 72)
Symmetry-distinct sites (fractional):
La  0.2065  0.1941  0.0000 (multiplicity 8)
Pr  0.0000  0.5000  0.2500 (multiplicity 4)
Sm  0.0000  0.0000  0.2500 (multiplicity 4)
Pt  0.2333  0.1113  0.5000 (multiplicity 8)

Properties
The value obtained for the formation energy is -0.776 eV/atom. Its total moment is 0.00 μB per formula unit.

---

# 7
Here is a relaxed structure of LaPrTePt from Alexandria via LeMat-Bulk. Energies are from PBE-GGA.

Cell: 4.3162 4.3162 23.2064 Å, 90.00 90.00 120.00°
Space group R3m (No. 160, hexagonal axes)
Symmetry-distinct sites (fractional):
La  0.0000  0.0000  0.0000 (multiplicity 3)
Pr  0.0000  0.0000  0.8073 (multiplicity 3)
Te  0.0000  0.0000  0.5697 (multiplicity 3)
Pt  0.0000  0.0000  0.4034 (multiplicity 3)

Properties
For the raw formation energy, the calculation gives -1.29 eV/atom. Its total moment is 0.00 μB per formula unit.

---

# 8
Here is a relaxed structure of LaPrTh2Pt4 from Alexandria via LeMat-Bulk. Energies are from PBE-GGA.

Cell: 5.9460 5.9460 11.9878 Å, 90.00 90.00 90.00°
Space group I4/mmm (No. 139)
Symmetry-distinct sites (fractional):
La  0.0000  0.0000  0.0000 (multiplicity 2)
Pr  0.0000  0.0000  0.5000 (multiplicity 2)
Th  0.0000  0.5000  0.2500 (multiplicity 4)
Pt  0.0000  0.0000  0.2500 (multiplicity 4)
Pt  0.0000  0.5000  0.0000 (multiplicity 4)

Properties
The value obtained for the formation energy is -1.156 eV/atom. Its total moment is 0.00 μB per formula unit.